# GGA-PBE CrTcAg2, relaxed
# Energy relative to the lowest polymorph listed for this composition in eV/f.u.: 0.00
# Calculated total energy in eV/cell: -24.4
data_CrTcAg2
_cell_length_a 2.926
_cell_length_b 2.926
_cell_length_c 7.510
_cell_angle_alpha 90.00
_cell_angle_beta 90.00
_cell_angle_gamma 90.00
_symmetry_space_group_name_H-M 'P 4 m m'
_symmetry_Int_Tables_number 99
_symmetry_space_group_name_Hall 'P 4 -2'
loop_
_atom_site_label
_atom_site_fract_x
_atom_site_fract_y
_atom_site_fract_z
Cr1 0.000 0.000 0.000
Tc1 0.500 0.500 0.169
Ag1 0.000 0.000 0.456
Ag2 0.500 0.500 0.732

---

# GGA-PBE As2PtSeCl, relaxed
# Energy relative to the lowest polymorph listed for this composition in eV/f.u.: 0.00
# Calculated total energy in eV/cell: -17.9
# Energy relative to the elements, uncorrected in eV/atom: 0.556
data_As2PtSeCl
_cell_length_a 4.922
_cell_length_b 4.922
_cell_length_c 5.131
_cell_angle_alpha 90.00
_cell_angle_beta 90.00
_cell_angle_gamma 90.00
_symmetry_space_group_name_H-M 'P 4/m m m'
_symmetry_Int_Tables_number 123
_symmetry_space_group_name_Hall '-P 4 2'
loop_
_atom_site_label
_atom_site_fract_x
_atom_site_fract_y
_atom_site_fract_z
As1 0.000 0.500 0.000
Pt1 0.000 0.000 0.000
Se1 0.000 0.000 0.500
Cl1 0.500 0.500 0.500